Compound: Ba2MgIn2Bi4
Source: Alexandria
Functional: GGA-PBE
Structure: optimized geometry

The structure belongs to space group C2/m (No. 12); the cell edges are 17.219, 5.310 and 7.281 Å and the angles 90.00°, 110.09° and 90.00°. The distinct sites, in fractional coordinates, are Ba at (0.132, 0.000, 0.122), Mg at (0.000, 0.000, 0.500), In at (0.163, 0.500, 0.499), Bi at (0.013, 0.500, 0.770) and Bi at (0.200, 0.000, 0.707).

Its energy of formation from the pure elements is -414 kJ/mol of formula units. For the total moment, the calculation gives 0.000 Bohr magnetons per cell.


Compound: Ba2InBiN
Source: Alexandria
Functional: GGA-PBE
Structure: optimized geometry

The structure belongs to space group P4/mmm (No. 123); the cell edges are 5.772, 5.772 and 4.676 Å and the angles 90.00°, 90.00° and 90.00°. The distinct sites, in fractional coordinates, are Ba at (0.000, 0.500, 0.000), In at (0.000, 0.000, 0.500), Bi at (0.500, 0.500, 0.500) and N at (0.000, 0.000, 0.000).

Its uncorrected formation energy is -471 meV per atom. For the total moment, the calculation gives 0.000 Bohr magnetons per cell.


Compound: Ba2NaIn3Bi4
Source: Alexandria
Functional: GGA-PBE
Structure: optimized geometry

The structure belongs to space group P-4m2 (No. 115); the cell edges are 5.136, 5.136 and 13.702 Å and the angles 90.00°, 90.00° and 90.00°. The distinct sites, in fractional coordinates, are Ba at (0.000, 0.500, 0.240), Na at (0.000, 0.000, 0.500), In at (0.000, 0.500, 0.864), In at (0.500, 0.500, 0.500), Bi at (0.000, 0.000, 0.000), Bi at (0.000, 0.500, 0.644) and Bi at (0.500, 0.500, 0.000).

Its energy of formation from the pure elements is -386 kJ/mol of formula units. For the total moment, the calculation gives 0.000 Bohr magnetons per cell.


Compound: BaNa2In2Bi2
Source: Alexandria
Functional: GGA-PBE
Structure: optimized geometry

The structure belongs to space group R-3m (No. 166, hexagonal axes); the cell edges are 5.4481, 5.4481 and 27.4803 Å and the angles 90.00°, 90.00° and 120.00°. The distinct sites, in fractional coordinates, are Ba at (0.0000, 0.0000, 0.0000), Na at (0.0000, 0.0000, 0.1396), In at (0.0000, 0.0000, 0.4370) and Bi at (0.0000, 0.0000, 0.2543).

Its energy of formation from the pure elements is -245 kJ/mol of formula units. For the total moment, the calculation gives 0.000 Bohr magnetons per cell.